Here is MnOsF2 after structural relaxation from the Alexandria database. Energies are from PBE with a Hubbard U.

**Magnetization**: 17.55 μB per cell
**Energy relative to the lowest polymorph listed for this composition**: 658 meV per atom
**DOS at the Fermi energy**: 3.68 states/eV/cell
**E_tot**: -45.48 eV per cell

Cell: 6.0569 6.0569 6.0569 Å, 121.42 121.42 87.56°
Last column: nearest neighbours and their distance in Å.
Fractional coordinates of all 8 atoms:
1 Mn 0.0000 0.0000 0.0000  4 F 2.00
2 Mn 0.7500 0.2500 0.5000  4 F 2.00
3 Os 0.2500 0.7500 0.5000  4 F 2.85
4 Os 0.5000 0.5000 0.0000  4 F 2.85
5 F 0.0086 0.6250 0.8836  2 Mn 2.00
6 F 0.3750 0.2586 0.3836  2 Mn 2.00
7 F 0.7414 0.1250 0.1164  2 Mn 2.00
8 F 0.8750 0.9914 0.6164  2 Mn 2.00